1.
# HoNpMnC3

Crystalline HoNpMnC3 at its relaxed geometry (GGA-PBE, the Alexandria database).

a b c (Å): 3.4550 7.0805 7.2396
angles (deg): 93.83 90.00 90.00
Last column: nearest neighbours and their distance in Å.
Sites, in units of the cell vectors:
Ho1 0.7500 0.8488 0.8225  5 C 2.43-2.64
Ho2 0.2500 0.1512 0.1775  5 C 2.43-2.64
Np1 0.2500 0.6326 0.1820  5 C 2.25-2.42
Np2 0.7500 0.3674 0.8180  5 C 2.25-2.42
Mn1 0.2500 0.0930 0.5873  4 C 1.84-1.90
Mn2 0.7500 0.9070 0.4127  4 C 1.84-1.90
C1 0.2500 0.8384 0.4884  3 Mn 1.89-1.90
C2 0.7500 0.8695 0.1589  1 Mn 1.84
C3 0.7500 0.4109 0.1281  3 Np 2.25-2.35
C4 0.7500 0.1616 0.5116  3 Mn 1.89-1.90
C5 0.2500 0.5891 0.8719  3 Np 2.25-2.35
C6 0.2500 0.1305 0.8411  1 Mn 1.84

Values from the calculation:
- Final energy: -9.01 eV per atom
- Symmetry: P2_1/m, No. 11
- Crystal system: monoclinic
- ρ: 9.26 g/cm³
- DFT formation energy: 0.049 eV per atom



2.
# Ac3Zn2Au9

Crystalline Ac3Zn2Au9 at its relaxed geometry (GGA-PBE, the Alexandria database).

a b c (Å): 4.6132 8.8441 8.8441
angles (deg): 70.78 74.88 74.88
Last column: nearest neighbours and their distance in Å.
Sites, in units of the cell vectors:
Ac1 0.0000 0.0000 0.0000  12 Au 3.39-3.47, 4 Zn 3.78
Ac2 0.6966 0.3034 0.3034  10 Au 3.33-3.54, 2 Zn 3.42
Ac3 0.3034 0.6966 0.6966  10 Au 3.33-3.54, 2 Zn 3.42
Zn1 0.5000 0.2925 0.7075  6 Au 2.71-2.88
Zn2 0.5000 0.7075 0.2925  6 Au 2.71-2.88
Au1 0.0000 0.5000 0.5000  4 Au 2.79
Au2 0.6595 0.9763 0.7046  1 Zn 2.71, 3 Au 2.78-2.81
Au3 0.3405 0.0237 0.2954  1 Zn 2.71, 3 Au 2.78-2.81
Au4 0.6595 0.7046 0.9763  1 Zn 2.71, 3 Au 2.78-2.81
Au5 0.3405 0.2954 0.0237  1 Zn 2.71, 3 Au 2.78-2.81
Au6 0.8744 0.8401 0.4111  4 Au 2.79-3.04, 2 Zn 2.88
Au7 0.1256 0.1599 0.5889  4 Au 2.79-3.04, 2 Zn 2.88
Au8 0.8744 0.4111 0.8401  4 Au 2.79-3.04, 2 Zn 2.88
Au9 0.1256 0.5889 0.1599  4 Au 2.79-3.04, 2 Zn 2.88

Values from the calculation:
- Final energy: -3.79 eV per atom
- Symmetry: Immm, No. 71
- Crystal system: orthorhombic
- ρ: 13.29 g/cm³
- DFT formation energy: -0.619 eV per atom



- What is the formula in the first record?
  HoNpMnC3



Please write out number 1 again, unchanged.
# HoNpMnC3

Crystalline HoNpMnC3 at its relaxed geometry (GGA-PBE, the Alexandria database).

a b c (Å): 3.4550 7.0805 7.2396
angles (deg): 93.83 90.00 90.00
Last column: nearest neighbours and their distance in Å.
Sites, in units of the cell vectors:
Ho1 0.7500 0.8488 0.8225  5 C 2.43-2.64
Ho2 0.2500 0.1512 0.1775  5 C 2.43-2.64
Np1 0.2500 0.6326 0.1820  5 C 2.25-2.42
Np2 0.7500 0.3674 0.8180  5 C 2.25-2.42
Mn1 0.2500 0.0930 0.5873  4 C 1.84-1.90
Mn2 0.7500 0.9070 0.4127  4 C 1.84-1.90
C1 0.2500 0.8384 0.4884  3 Mn 1.89-1.90
C2 0.7500 0.8695 0.1589  1 Mn 1.84
C3 0.7500 0.4109 0.1281  3 Np 2.25-2.35
C4 0.7500 0.1616 0.5116  3 Mn 1.89-1.90
C5 0.2500 0.5891 0.8719  3 Np 2.25-2.35
C6 0.2500 0.1305 0.8411  1 Mn 1.84

Values from the calculation:
- Final energy: -9.01 eV per atom
- Symmetry: P2_1/m, No. 11
- Crystal system: monoclinic
- ρ: 9.26 g/cm³
- DFT formation energy: 0.049 eV per atom



- Number 1 is which compound?
  HoNpMnC3